DFT (PBE with a Hubbard U) results for MoAs2F after structural relaxation.

Calculated values
Final energy ... -4.608 eV/atom
Space group ... Fm-3m (225)
D(E_F) ... 1.9 states/eV/cell
Crystal system ... cubic

Unit cell a=4.524 b=4.524 c=4.524 alpha=60.00 beta=60.00 gamma=60.00
Sites, in units of the cell vectors:
Mo 0.000 0.000 0.000
As 0.250 0.250 0.250
As 0.750 0.750 0.750
F 0.500 0.500 0.500